## Ba3CaOs2N6 (GGA-PBE)

Data for a geometry-optimized Ba3CaOs2N6 structure.

Computed properties:
The raw formation energy is -0.5161 eV/atom.

Cell lengths 6.2964, 6.2964, 7.2791 Å; angles 90.00, 90.00, 120.00 degrees
Last column: nearest neighbours and their distance in Å.
Atoms (fractional coordinates):
Ba: 0.0000 0.0000 0.0000  6 N 2.79
Ba: 0.3333 0.6667 0.7088  6 N 3.15, 1 Os 3.42
Ba: 0.6667 0.3333 0.2912  6 N 3.15, 1 Os 3.42
Ca: 0.0000 0.0000 0.5000  6 N 2.44
Os: 0.3333 0.6667 0.2386  3 N 1.80
Os: 0.6667 0.3333 0.7614  3 N 1.80
N: 0.1713 0.3426 0.2853  1 Os 1.80
N: 0.1713 0.8287 0.2853  1 Os 1.80
N: 0.3426 0.1713 0.7147  1 Os 1.80
N: 0.6574 0.8287 0.2853  1 Os 1.80
N: 0.8287 0.1713 0.7147  1 Os 1.80
N: 0.8287 0.6574 0.7147  1 Os 1.80